# 1
Below is a relaxed SrFeSi3 crystal, with properties calculated at the PBEsol level.

abc: 5.2359 5.2359 5.2359
angles: 90.00 90.00 90.00
Site moments in Bohr magnetons follow the coordinates.
Positions (direct):
Si (0.5000, 0.0000, 0.0000)  -0.03
Fe (0.5000, 0.5000, 0.5000)  3.33
Sr (0.0000, 0.0000, 0.0000)  -0.02
Si (0.0000, 0.5000, 0.0000)  -0.03
Si (0.0000, 0.0000, 0.5000)  -0.03

Crystal system: cubic
Uncorrected formation energy in eV per atom: 2.265
SG: No. 221

***

# 2
Below is a relaxed SrFe2Si crystal, with properties calculated at the PBEsol level.

abc: 3.9467 3.9467 5.8957
angles: 70.45 70.45 60.00
Site moments in Bohr magnetons follow the coordinates.
Positions (direct):
Fe (0.9370, 0.9370, 0.1891)  1.35
Si (0.5607, 0.5607, 0.3178)  -0.03
Fe (0.2525, 0.2525, 0.2426)  0.83
Sr (0.7481, 0.7481, 0.7557)  -0.05

Crystal system: trigonal
Uncorrected formation energy in eV per atom: -0.165
SG: No. 160

***

# 3
Below is a relaxed Sr2FeSi crystal, with properties calculated at the PBEsol level.

abc: 3.7257 3.7257 9.4761
angles: 78.66 78.66 60.00
Site moments in Bohr magnetons follow the coordinates.
Positions (direct):
Fe (0.5000, 0.5000, 0.5000)  2.88
Sr (0.7493, 0.7493, 0.7522)  -0.06
Si (0.0000, 0.0000, 0.0000)  0.00
Sr (0.2507, 0.2507, 0.2478)  -0.06

Crystal system: trigonal
Uncorrected formation energy in eV per atom: 0.651
SG: No. 166

***

# 4
Below is a relaxed Sr2ZnFeSi crystal, with properties calculated at the PBEsol level.

abc: 4.4631 5.6763 5.6763
angles: 90.00 90.00 90.00
Site moments in Bohr magnetons follow the coordinates.
Positions (direct):
Sr (0.0000, 0.0000, 0.5000)  -0.04
Sr (0.0000, 0.5000, 0.0000)  -0.04
Zn (0.0000, 0.0000, 0.0000)  -0.09
Fe (0.5000, 0.0000, 0.0000)  2.68
Si (0.5000, 0.5000, 0.5000)  -0.02

Crystal system: tetragonal
Uncorrected formation energy in eV per atom: 0.596
SG: No. 123

***

# 5
Below is a relaxed Ta2FeSi crystal, with properties calculated at the PBEsol level.

abc: 3.2444 3.7401 5.0463
angles: 90.00 108.75 90.00
Site moments in Bohr magnetons follow the coordinates.
Positions (direct):
Fe (0.8273, 0.0000, 0.6546)  0.59
Ta (0.4004, 0.5000, 0.8008)  -0.02
Si (0.6761, 0.5000, 0.3522)  0.00
Ta (0.0956, 0.0000, 0.1912)  0.02

Crystal system: orthorhombic
Uncorrected formation energy in eV per atom: -0.388
SG: No. 38

***

# 6
Below is a relaxed TaFe6Si crystal, with properties calculated at the PBEsol level.

abc: 5.7880 6.3161 11.2045
angles: 90.00 90.00 117.27
Site moments in Bohr magnetons follow the coordinates.
Positions (direct):
Fe (0.7497, 0.4993, 0.7443)  2.34
Fe (0.1126, 0.7421, 0.3809)  1.03
Si (0.7438, 0.4875, 0.5000)  -0.05
Fe (0.7497, 0.4993, 0.2557)  2.34
Fe (0.5000, 0.0000, 0.0000)  2.37
Fe (0.0000, 0.0000, 0.0000)  2.40
Fe (0.3616, 0.2452, 0.8691)  1.33
Si (0.0000, 0.0000, 0.2601)  -0.04
Fe (0.1164, 0.7548, 0.1309)  1.33
Fe (0.5000, 0.0000, 0.5000)  2.33
Fe (0.1126, 0.7421, 0.6191)  1.03
Fe (0.3705, 0.2579, 0.6191)  1.03
Fe (0.6295, 0.7421, 0.6191)  1.03
Fe (0.8836, 0.2452, 0.1309)  1.33
Si (0.0000, 0.0000, 0.7399)  -0.04
Fe (0.3616, 0.2452, 0.1309)  1.33
Ta (0.5000, 0.0000, 0.7435)  -0.32
Fe (0.6384, 0.7548, 0.1309)  1.33
Fe (0.8874, 0.2579, 0.6191)  1.03
Ta (0.5000, 0.0000, 0.2565)  -0.32
Fe (0.0000, 0.0000, 0.5000)  2.38
Fe (0.6384, 0.7548, 0.8691)  1.33
Fe (0.6295, 0.7421, 0.3809)  1.03
Fe (0.3705, 0.2579, 0.3809)  1.03
Si (0.2562, 0.5125, 0.5000)  -0.05
Fe (0.8836, 0.2452, 0.8691)  1.33
Fe (0.2503, 0.5007, 0.7443)  2.34
Fe (0.1164, 0.7548, 0.8691)  1.33
Ta (0.7443, 0.4887, 0.0000)  -0.34
Fe (0.8874, 0.2579, 0.3809)  1.03
Ta (0.2557, 0.5113, 0.0000)  -0.34
Fe (0.2503, 0.5007, 0.2557)  2.34

Crystal system: orthorhombic
Uncorrected formation energy in eV per atom: -0.197
SG: No. 65

***

# 7
Below is a relaxed TaFeSi2 crystal, with properties calculated at the PBEsol level.

abc: 4.2282 4.2282 4.2282
angles: 60.00 60.00 60.00
Positions (direct):
Ta (0.7500, 0.7500, 0.7500)
Si (0.2500, 0.2500, 0.2500)
Si (0.0000, 0.0000, 0.0000)
Fe (0.5000, 0.5000, 0.5000)

Crystal system: cubic
Uncorrected formation energy in eV per atom: 0.016
SG: No. 216

***

# 8
Below is a relaxed TaFeSi2 crystal, with properties calculated at the PBEsol level.

abc: 3.7241 3.7241 4.6973
angles: 113.35 113.35 90.00
Site moments in Bohr magnetons follow the coordinates.
Positions (direct):
Fe (0.0000, 0.0000, 0.0000)  2.34
Ta (0.5000, 0.5000, 0.0000)  0.14
Si (0.2500, 0.7500, 0.5000)  0.02
Si (0.7500, 0.2500, 0.5000)  0.02

Crystal system: tetragonal
Uncorrected formation energy in eV per atom: -0.142
SG: No. 139

***

Repeat the sixth record exactly.
Below is a relaxed TaFe6Si crystal, with properties calculated at the PBEsol level.

abc: 5.7880 6.3161 11.2045
angles: 90.00 90.00 117.27
Site moments in Bohr magnetons follow the coordinates.
Positions (direct):
Fe (0.7497, 0.4993, 0.7443)  2.34
Fe (0.1126, 0.7421, 0.3809)  1.03
Si (0.7438, 0.4875, 0.5000)  -0.05
Fe (0.7497, 0.4993, 0.2557)  2.34
Fe (0.5000, 0.0000, 0.0000)  2.37
Fe (0.0000, 0.0000, 0.0000)  2.40
Fe (0.3616, 0.2452, 0.8691)  1.33
Si (0.0000, 0.0000, 0.2601)  -0.04
Fe (0.1164, 0.7548, 0.1309)  1.33
Fe (0.5000, 0.0000, 0.5000)  2.33
Fe (0.1126, 0.7421, 0.6191)  1.03
Fe (0.3705, 0.2579, 0.6191)  1.03
Fe (0.6295, 0.7421, 0.6191)  1.03
Fe (0.8836, 0.2452, 0.1309)  1.33
Si (0.0000, 0.0000, 0.7399)  -0.04
Fe (0.3616, 0.2452, 0.1309)  1.33
Ta (0.5000, 0.0000, 0.7435)  -0.32
Fe (0.6384, 0.7548, 0.1309)  1.33
Fe (0.8874, 0.2579, 0.6191)  1.03
Ta (0.5000, 0.0000, 0.2565)  -0.32
Fe (0.0000, 0.0000, 0.5000)  2.38
Fe (0.6384, 0.7548, 0.8691)  1.33
Fe (0.6295, 0.7421, 0.3809)  1.03
Fe (0.3705, 0.2579, 0.3809)  1.03
Si (0.2562, 0.5125, 0.5000)  -0.05
Fe (0.8836, 0.2452, 0.8691)  1.33
Fe (0.2503, 0.5007, 0.7443)  2.34
Fe (0.1164, 0.7548, 0.8691)  1.33
Ta (0.7443, 0.4887, 0.0000)  -0.34
Fe (0.8874, 0.2579, 0.3809)  1.03
Ta (0.2557, 0.5113, 0.0000)  -0.34
Fe (0.2503, 0.5007, 0.2557)  2.34

Crystal system: orthorhombic
Uncorrected formation energy in eV per atom: -0.197
SG: No. 65

***

uncorrected formation energy of number 6 (TaFe6Si)?
-0.197 eV per atom

***

Look up the uncorrected formation energy of the second one.
-0.165 eV per atom

***

Among the records above, which one has the highest uncorrected formation energy?
SrFeSi3